First-principles (PBE) data for a geometry-optimized Cs2NaCaGa structure, as listed in Alexandria via LeMat-Bulk.

```
5
Lattice="-4.464 2.998 4.671 1.430 -4.282 4.115 5.294 4.101 2.427" Properties=species:S:1:pos:R:3 pbc="T T T"
Cs -2.232 1.499 2.336
Cs 2.647 2.050 1.214
Ca 0.715 -2.141 2.057
Ga 0.000 0.000 0.000
Na 1.130 1.409 5.607
```

Values from the calculation:
The calculation puts the mass density at 2.1 g/cm³. The value obtained for the volume is 61.98 A^3/atom. The calculation puts the total magnetization at 0.0 μB per cell. The calculation puts the total energy at -1.43 eV/atom.

---

First-principles (PBE) data for a geometry-optimized SrZn2Te2 structure, as listed in Alexandria via LeMat-Bulk.

```
5
Lattice="5.443 0.000 0.000 0.000 5.443 0.000 2.721 2.721 4.661" Properties=species:S:1:pos:R:3 pbc="T T T"
Te 2.721 5.443 2.330
Te 5.443 2.721 2.330
Sr 0.000 0.000 0.000
Zn 2.721 2.721 1.212
Zn 5.443 5.443 3.448
```

Values from the calculation:
The calculation puts the mass density at 5.7 g/cm³. The calculation puts the relative energy among the computed polymorphs at 0.000 eV/atom. The value obtained for the volume is 27.61 A^3/atom. The calculation puts the total magnetization at 0.0 μB per cell.

---

First-principles (PBE) data for a geometry-optimized InIr2Pt structure, as listed in Alexandria via LeMat-Bulk.

```
4
Lattice="3.947 0.000 0.000 0.000 4.032 0.000 0.000 0.000 4.032" Properties=species:S:1:pos:R:3 pbc="T T T"
In 1.974 0.000 2.016
Pt 1.974 2.016 0.000
Ir 0.000 2.016 2.016
Ir 0.000 0.000 0.000
```

Values from the calculation:
The calculation puts the mass density at 18.0 g/cm³. The value obtained for the volume is 16.04 A^3/atom. The calculation puts the total magnetization at 0.0 μB per cell. The calculation puts the total energy at -6.63 eV/atom.

---

First-principles (PBE) data for a geometry-optimized ThScOs structure, as listed in Alexandria via LeMat-Bulk.

```
3
Lattice="-0.272 2.258 2.416 -3.255 -0.610 0.204 2.891 -5.380 3.075" Properties=species:S:1:pos:R:3 pbc="T T T"
Th 0.067 -0.271 0.261
Sc 0.664 -2.682 2.582
Os -1.367 -0.778 2.852
```

Values from the calculation:
The calculation puts the mass density at 11.0 g/cm³. The calculation puts the relative energy among the computed polymorphs at 0.140 eV/atom. The value obtained for the volume is 23.57 A^3/atom. The calculation puts the total magnetization at 0.0 μB per cell.

---

First-principles (PBE) data for a geometry-optimized TiTcW2 structure, as listed in Alexandria via LeMat-Bulk.

```
8
Lattice="7.216 0.000 0.000 0.000 7.216 0.000 3.608 3.608 2.639" Properties=species:S:1:pos:R:3 pbc="T T T"
W 5.412 5.250 1.979
W 9.020 9.182 1.979
W 5.574 1.804 0.660
W 1.642 5.412 0.660
Ti 3.608 7.216 1.319
Ti 3.608 3.608 0.000
Tc 0.000 0.000 0.000
Tc 7.216 3.608 1.319
```

Values from the calculation:
The calculation puts the mass density at 12.4 g/cm³. The calculation puts the relative energy among the computed polymorphs at 0.906 eV/atom. The value obtained for the volume is 17.17 A^3/atom. The calculation puts the total magnetization at 0.0 μB per cell.

---

First-principles (PBE) data for a geometry-optimized CrAgBr2 structure, as listed in Alexandria via LeMat-Bulk.

```
4
Lattice="6.613 -0.036 0.192 5.383 3.842 0.192 -0.102 -0.032 3.745" Properties=species:S:1:pos:R:3 pbc="T T T"
Ag 8.348 2.648 3.536
Cr 5.967 1.893 1.606
Br 3.399 1.078 1.509
Br 0.028 0.009 3.287
```

Values from the calculation:
The calculation puts the mass density at 5.5 g/cm³. The calculation puts the relative energy among the computed polymorphs at 0.016 eV/atom. The value obtained for the volume is 23.99 A^3/atom. The calculation puts the total magnetization at 4.9 μB per cell.